## NiIr5 (GGA-PBE)

Data for NiIr5 after structural relaxation.

The structure belongs to space group Pmmn (No. 59, origin choice 2); the cell edges are 3.816, 8.136 and 5.431 Å and the angles 90.00°, 90.00° and 90.00°. Symmetry generates all atoms from Ni at (0.250, 0.250, 0.128), Ir at (0.250, 0.250, 0.622), Ir at (0.250, 0.581, 0.626) and Ir at (0.250, 0.585, 0.121).

The size of the total moment comes out at 0.00 μB/f.u. For the polymorph energy (0 for the lowest one), the calculation gives 0.0000 eV/atom. The total energy is -8.318 eV per atom.

=====

## NdFeCoP2 (GGA-PBE)

Data for NdFeCoP2 after structural relaxation.

The structure belongs to space group I-4m2 (No. 119); the cell edges are 3.744, 3.744 and 10.965 Å and the angles 90.00°, 90.00° and 90.00°. Symmetry generates all atoms from Nd at (0.000, 0.000, 0.000), Fe at (0.000, 0.500, 0.750), Co at (0.000, 0.500, 0.250) and P at (0.000, 0.000, 0.356).

The size of the total moment comes out at 0.00 μB/f.u. The total energy is -7.202 eV per atom.

=====

## ZrRu2W (GGA-PBE)

Data for ZrRu2W after structural relaxation.

The structure belongs to space group Pmmm (No. 47); the cell edges are 3.316, 4.223 and 4.671 Å and the angles 90.00°, 90.00° and 90.00°. Symmetry generates all atoms from Zr at (0.000, 0.000, 0.000), Ru at (0.000, 0.500, 0.500), Ru at (0.500, 0.500, 0.000) and W at (0.500, 0.000, 0.500).

The size of the total moment comes out at 0.00 μB/f.u. The total energy is -9.966 eV per atom.

=====

Q: What is the size of the total moment in the first record?
A: 0.00 μB/f.u.